Entry 1:
{
  "formula": "Rb5CdO3",
  "functional": "GGA-PBE",
  "state": "relaxed",
  "formation_energy_uncorrected_ev_per_atom": -0.85,
  "lattice": [[-2.8942, 2.5534, -1.1982], [-2.8929, -4.9525, -3.5664], [-9.9665, -3.2309, 17.1884]],
  "species": ["Rb", "Rb", "Rb", "Rb", "Rb", "Rb", "Rb", "Rb", "Rb", "Rb", "Cd", "Cd", "O", "O", "O", "O", "O", "O"],
  "fractional_positions": [[0.0000, 0.3277, 0.1035], [0.5000, 0.7407, 0.3823], [0.0000, 0.7268, 0.5584], [0.0000, 0.2732, 0.4416], [0.5000, 0.1682, 0.9318], [0.5000, 0.2593, 0.6177], [0.5000, 0.8518, 0.7323], [0.5000, 0.1482, 0.2677], [0.0000, 0.6723, 0.8965], [0.5000, 0.8318, 0.0682], [0.0000, 0.3112, 0.7664], [0.0000, 0.6888, 0.2336], [0.0000, 0.9282, 0.3172], [0.5000, 0.5591, 0.1922], [0.5000, 0.5000, 0.5000], [0.5000, 0.4409, 0.8078], [0.0000, 0.0000, 0.0000], [0.0000, 0.0718, 0.6828]]
}

***

Entry 2:
{
  "formula": "Rb4Cd2O",
  "functional": "GGA-PBE",
  "state": "relaxed",
  "formation_energy_uncorrected_ev_per_atom": -0.36,
  "lattice": [[5.7905, 0.0000, 0.0000], [0.0000, 5.7905, 0.0000], [2.8953, 2.8953, 9.9339]],
  "species": ["Rb", "Rb", "Rb", "Rb", "O", "Cd", "Cd"],
  "fractional_positions": [[0.6918, 0.6918, 0.6165], [0.5000, 0.0000, 0.0000], [0.0000, 0.5000, 0.0000], [0.3082, 0.3082, 0.3835], [0.0000, 0.0000, 0.0000], [0.8844, 0.8844, 0.2312], [0.1156, 0.1156, 0.7688]]
}

***

Entry 3:
{
  "formula": "Rb2Cd2ReO6",
  "functional": "GGA-PBE",
  "state": "relaxed",
  "formation_energy_uncorrected_ev_per_atom": -1.35,
  "lattice": [[-1.8690, 5.4826, 0.0048], [-0.5239, -3.0427, -4.9009], [-4.9871, -2.8732, 3.6257]],
  "species": ["O", "O", "O", "O", "O", "O", "Re", "Cd", "Cd", "Rb", "Rb"],
  "fractional_positions": [[0.7875, 0.7875, 0.6679], [0.0542, 0.3353, 0.6695], [0.9458, 0.6647, 0.3305], [0.3353, 0.0542, 0.6695], [0.2125, 0.2125, 0.3321], [0.6647, 0.9458, 0.3305], [0.0000, 0.0000, 0.5000], [0.6624, 0.3376, 0.5000], [0.3376, 0.6624, 0.5000], [0.8238, 0.1762, 0.0000], [0.1762, 0.8238, 0.0000]]
}